{"formula": "Ta3NbMo", "functional": "GGA-PBEsol", "state": "relaxed", "lattice": [[4.7174, 0.0000, 0.0000], [0.0000, 4.7174, 0.0000], [0.0000, 0.0000, 4.7174]], "species": ["Ta", "Ta", "Ta", "Nb", "Mo"], "fractional_positions": [[0.0000, 0.0000, 0.5000], [0.0000, 0.5000, 0.0000], [0.5000, 0.0000, 0.0000], [0.5000, 0.5000, 0.5000], [0.0000, 0.0000, 0.0000]], "formation_enthalpy_0k_mev_per_atom": 1506.9, "magnetic_moment_mub_per_cell": 0.00, "spacegroup": "Pm-3m (221)"}

{"formula": "TaNbMo2", "functional": "GGA-PBEsol", "state": "relaxed", "lattice": [[0.0000, 3.1943, 3.1943], [3.1943, 0.0000, 3.1943], [3.1943, 3.1943, 0.0000]], "species": ["Ta", "Nb", "Mo", "Mo"], "fractional_positions": [[0.0000, 0.0000, 0.0000], [0.5000, 0.5000, 0.5000], [0.2500, 0.2500, 0.2500], [0.7500, 0.7500, 0.7500]], "formation_enthalpy_0k_mev_per_atom": -145.8, "magnetic_moment_mub_per_cell": 0.00, "spacegroup": "Fm-3m (225)"}

{"formula": "Ti2NbMo", "functional": "GGA-PBEsol", "state": "relaxed", "lattice": [[0.0000, 3.1738, 3.1738], [3.1738, 0.0000, 3.1738], [3.1738, 3.1738, 0.0000]], "species": ["Ti", "Ti", "Nb", "Mo"], "fractional_positions": [[0.2500, 0.2500, 0.2500], [0.7500, 0.7500, 0.7500], [0.0000, 0.0000, 0.0000], [0.5000, 0.5000, 0.5000]], "formation_enthalpy_0k_mev_per_atom": 32.0, "magnetic_moment_mub_per_cell": 0.00, "spacegroup": "Fm-3m (225)"}